[1]
Here is a relaxed structure of Ca5Cu from the Alexandria database. Energies are from PBE.

N(E_F) (states/eV/f.u.): 5.3
SG: P-62m
Formation energy from the elements (eV/atom): 0.154
Polymorph energy (0 for the lowest one) (meV/atom): 169

Cell and atoms, written as CIF:
```
data_Ca5Cu
_chemical_formula_sum 'Ca5 Cu1'
_cell_length_a 6.451
_cell_length_b 6.451
_cell_length_c 5.825
_cell_angle_alpha 90.00
_cell_angle_beta 90.00
_cell_angle_gamma 120.00
_space_group_name_H-M_alt 'P 1'
_space_group_IT_number 1
_space_group_name_Hall 'P 1'
loop_
_atom_site_label
_atom_site_type_symbol
_atom_site_fract_x
_atom_site_fract_y
_atom_site_fract_z
Ca1 Ca 0.000 0.689 0.000
Ca2 Ca 0.311 0.311 0.000
Ca3 Ca 0.333 0.667 0.500
Ca4 Ca 0.667 0.333 0.500
Ca5 Ca 0.689 0.000 0.000
Cu1 Cu 0.000 0.000 0.500
```



[2]
Here is a relaxed structure of Ac2La5DyEr from the Alexandria database. Energies are from PBE.

N(E_F) (states/eV/f.u.): 13.2
SG: Cmcm
Formation energy from the elements (eV/atom): 0.102

Cell and atoms, written as CIF:
```
data_Ac2La5DyEr
_chemical_formula_sum 'Ac4 La10 Dy2 Er2'
_cell_length_a 11.673
_cell_length_b 11.673
_cell_length_c 10.615
_cell_angle_alpha 90.00
_cell_angle_beta 90.00
_cell_angle_gamma 151.89
_space_group_name_H-M_alt 'P 1'
_space_group_IT_number 1
_space_group_name_Hall 'P 1'
loop_
_atom_site_label
_atom_site_type_symbol
_atom_site_fract_x
_atom_site_fract_y
_atom_site_fract_z
Ac1 Ac 0.116 0.884 0.514
Ac2 Ac 0.116 0.884 0.986
Ac3 Ac 0.884 0.116 0.014
Ac4 Ac 0.884 0.116 0.486
La1 La 0.005 0.995 0.250
La2 La 0.277 0.723 0.561
La3 La 0.277 0.723 0.939
La4 La 0.376 0.624 0.250
La5 La 0.500 0.500 0.000
La6 La 0.500 0.500 0.500
La7 La 0.624 0.376 0.750
La8 La 0.723 0.277 0.061
La9 La 0.723 0.277 0.439
La10 La 0.995 0.005 0.750
Dy1 Dy 0.212 0.788 0.250
Dy2 Dy 0.788 0.212 0.750
Er1 Er 0.397 0.603 0.750
Er2 Er 0.603 0.397 0.250
```



[3]
Here is a relaxed structure of AlTe2H from the Alexandria database. Energies are from PBE.

SG: P1
Polymorph energy (0 for the lowest one) (meV/atom): 0

Cell and atoms, written as CIF:
```
data_AlTe2H
_chemical_formula_sum 'Al1 Te2 H1'
_cell_length_a 3.955
_cell_length_b 4.208
_cell_length_c 7.340
_cell_angle_alpha 93.71
_cell_angle_beta 90.74
_cell_angle_gamma 118.00
_space_group_name_H-M_alt 'P 1'
_space_group_IT_number 1
_space_group_name_Hall 'P 1'
loop_
_atom_site_label
_atom_site_type_symbol
_atom_site_fract_x
_atom_site_fract_y
_atom_site_fract_z
Al1 Al 0.000 0.000 0.000
Te1 Te 0.294 0.594 0.816
Te2 Te 0.587 0.170 0.274
H1 H 0.379 0.742 0.336
```



[4]
Here is a relaxed structure of Pa2InHg from the Alexandria database. Energies are from PBE.

N(E_F) (states/eV/f.u.): 6.0
SG: R-3m
Formation energy from the elements (eV/atom): -0.031
Polymorph energy (0 for the lowest one) (meV/atom): 13

Cell and atoms, written as CIF:
```
data_Pa2InHg
_chemical_formula_sum 'Pa2 In1 Hg1'
_cell_length_a 11.254
_cell_length_b 11.254
_cell_length_c 11.254
_cell_angle_alpha 16.34
_cell_angle_beta 16.34
_cell_angle_gamma 16.34
_space_group_name_H-M_alt 'P 1'
_space_group_IT_number 1
_space_group_name_Hall 'P 1'
loop_
_atom_site_label
_atom_site_type_symbol
_atom_site_fract_x
_atom_site_fract_y
_atom_site_fract_z
Pa1 Pa 0.249 0.249 0.249
Pa2 Pa 0.751 0.751 0.751
In1 In 0.000 0.000 0.000
Hg1 Hg 0.500 0.500 0.500
```



[5]
Here is a relaxed structure of Y2ScHg from the Alexandria database. Energies are from PBE.

N(E_F) (states/eV/f.u.): 6.2
SG: R3m
Formation energy from the elements (eV/atom): -0.138

Cell and atoms, written as CIF:
```
data_Y2ScHg
_chemical_formula_sum 'Y2 Sc1 Hg1'
_cell_length_a 10.414
_cell_length_b 10.414
_cell_length_c 10.414
_cell_angle_alpha 19.82
_cell_angle_beta 19.82
_cell_angle_gamma 19.82
_space_group_name_H-M_alt 'P 1'
_space_group_IT_number 1
_space_group_name_Hall 'P 1'
loop_
_atom_site_label
_atom_site_type_symbol
_atom_site_fract_x
_atom_site_fract_y
_atom_site_fract_z
Y1 Y 0.000 0.000 0.000
Y2 Y 0.175 0.175 0.175
Sc1 Sc 0.754 0.754 0.754
Hg1 Hg 0.588 0.588 0.588
```



[6]
Here is a relaxed structure of TbPuSi4 from the Alexandria database. Energies are from PBE.

E_form (uncorrected) (eV/atom): -0.3582
N(E_F) (states/eV/f.u.): 5.8
SG: F-43m
Polymorph energy (0 for the lowest one) (meV/atom): 169

Cell and atoms, written as CIF:
```
data_TbPuSi4
_chemical_formula_sum 'Tb1 Pu1 Si4'
_cell_length_a 5.298
_cell_length_b 5.298
_cell_length_c 5.298
_cell_angle_alpha 60.00
_cell_angle_beta 60.00
_cell_angle_gamma 60.00
_space_group_name_H-M_alt 'P 1'
_space_group_IT_number 1
_space_group_name_Hall 'P 1'
loop_
_atom_site_label
_atom_site_type_symbol
_atom_site_fract_x
_atom_site_fract_y
_atom_site_fract_z
Tb1 Tb 0.000 0.000 0.000
Pu1 Pu 0.250 0.250 0.250
Si1 Si 0.126 0.625 0.625
Si2 Si 0.625 0.126 0.625
Si3 Si 0.625 0.625 0.126
Si4 Si 0.625 0.625 0.625
```



Mass density, respectively: 2.09 7.20 4.37 13.12 6.19 8.14 Mg/m³.